Record 1
Ca3PmPb4 | PBE | relaxed

Computed properties:
SG = C2/m (12)
formation enthalpy at 0 K = -0.504 eV per atom
total magnetization = 0.000 μB per formula unit
density of states at the Fermi level = 5.10 states/eV/cell

Lattice parameters (Å, degrees): 5.1558 5.1558 9.7641 105.24 105.24 90.04
Fractional coordinates of all 8 atoms:
Ca: 0.0000 0.0000 0.0000
Ca: 0.2520 0.2520 0.5038
Ca: 0.7480 0.7480 0.4962
Pm: 0.5000 0.5000 0.0000
Pb: 0.1246 0.6247 0.2496
Pb: 0.3753 0.8754 0.7504
Pb: 0.6247 0.1246 0.2496
Pb: 0.8754 0.3753 0.7504

***

Record 2
CaPm7Pb4 | PBE | relaxed

Computed properties:
SG = C2/m (12)
formation enthalpy at 0 K = -0.165 eV per atom
total magnetization = 1.076 μB per formula unit
density of states at the Fermi level = 11.48 states/eV/cell

Lattice parameters (Å, degrees): 7.5756 7.5756 11.4697 120.96 120.96 46.35
Fractional coordinates of all 12 atoms:
Ca: 0.0000 0.0000 0.0000
Pm: 0.0486 0.0486 0.3715
Pm: 0.2117 0.2117 0.8894
Pm: 0.3278 0.3278 0.4128
Pm: 0.5000 0.5000 0.0000
Pm: 0.6722 0.6722 0.5872
Pm: 0.7883 0.7883 0.1106
Pm: 0.9514 0.9514 0.6285
Pb: 0.2951 0.2951 0.6749
Pb: 0.4246 0.4246 0.2260
Pb: 0.5754 0.5754 0.7740
Pb: 0.7049 0.7049 0.3251

***

Record 3
Ca2PmPb | PBE | relaxed

Computed properties:
SG = P4/mmm (123)
formation enthalpy at 0 K = -0.214 eV per atom
total magnetization = 0.000 μB per formula unit
density of states at the Fermi level = 3.81 states/eV/cell
E above lowest polymorph = 0.0943 eV per atom

Lattice parameters (Å, degrees): 3.6964 3.6964 9.9204 90.00 90.00 90.00
Fractional coordinates of all 4 atoms:
Ca: 0.0000 0.0000 0.2136
Ca: 0.0000 0.0000 0.7864
Pm: 0.5000 0.5000 0.5000
Pb: 0.5000 0.5000 0.0000

***

Record 4
CaPm4Pb2 | PBE | relaxed

Computed properties:
SG = I4/mmm (139)
formation enthalpy at 0 K = 0.068 eV per atom
total magnetization = 0.000 μB per formula unit
density of states at the Fermi level = 6.46 states/eV/cell

Lattice parameters (Å, degrees): 7.6844 7.6844 7.6844 133.62 133.62 67.68
Fractional coordinates of all 7 atoms:
Ca: 0.0000 0.0000 0.0000
Pm: 0.0000 0.5000 0.5000
Pm: 0.2500 0.7500 0.5000
Pm: 0.5000 0.0000 0.5000
Pm: 0.7500 0.2500 0.5000
Pb: 0.3699 0.3699 0.0000
Pb: 0.6301 0.6301 0.0000

***

Record 5
CaPm2Pb3 | PBE | relaxed

Computed properties:
SG = P4/mmm (123)
formation enthalpy at 0 K = -0.513 eV per atom
total magnetization = 0.001 μB per formula unit
density of states at the Fermi level = 4.71 states/eV/cell

Lattice parameters (Å, degrees): 3.5927 3.5927 13.8361 90.00 90.00 90.00
Fractional coordinates of all 6 atoms:
Ca: 0.0000 0.0000 0.0000
Pm: 0.0000 0.0000 0.3337
Pm: 0.0000 0.0000 0.6663
Pb: 0.5000 0.5000 0.1663
Pb: 0.5000 0.5000 0.5000
Pb: 0.5000 0.5000 0.8337

***

Record 6
CaPm3Pb5 | PBE | relaxed

Computed properties:
SG = P6_3/mcm (193)
formation enthalpy at 0 K = -0.445 eV per atom
total magnetization = 0.000 μB per formula unit
density of states at the Fermi level = 17.06 states/eV/cell

Lattice parameters (Å, degrees): 9.6950 9.6950 6.6825 90.00 90.00 120.00
Fractional coordinates of all 18 atoms:
Ca: 0.0000 0.0000 0.0000
Ca: 0.0000 0.0000 0.5000
Pm: 0.0000 0.3777 0.2500
Pm: 0.0000 0.6223 0.7500
Pm: 0.3777 0.0000 0.2500
Pm: 0.3777 0.3777 0.7500
Pm: 0.6223 0.0000 0.7500
Pm: 0.6223 0.6223 0.2500
Pb: 0.0000 0.2932 0.7500
Pb: 0.0000 0.7068 0.2500
Pb: 0.2932 0.0000 0.7500
Pb: 0.2932 0.2932 0.2500
Pb: 0.3333 0.6667 0.0000
Pb: 0.3333 0.6667 0.5000
Pb: 0.6667 0.3333 0.0000
Pb: 0.6667 0.3333 0.5000
Pb: 0.7068 0.0000 0.2500
Pb: 0.7068 0.7068 0.7500